Record 1
This record from the Alexandria database describes an optimized crystal structure of Zr2NiAg. The functional is PBE.

For the energy of formation, the calculation gives 0.12 eV/atom. The crystal system is cubic. For the magnetization, the calculation gives 4.22 μB/cell.

CIF file:
```
data_Zr2NiAg
_chemical_formula_sum 'Zr8 Ni4 Ag4'
_symmetry_space_group_name_H-M 'F -4 3 m'
_symmetry_Int_Tables_number 216
_symmetry_space_group_name_Hall 'F -4 2 3'
_cell_length_a 6.600
_cell_length_b 6.600
_cell_length_c 6.600
_cell_angle_alpha 90.00
_cell_angle_beta 90.00
_cell_angle_gamma 90.00
loop_
_atom_site_label
_atom_site_type_symbol
_atom_site_fract_x
_atom_site_fract_y
_atom_site_fract_z
Zr1 Zr 0.000 0.000 0.000
Zr2 Zr 0.250 0.250 0.250
Ni1 Ni 0.000 0.000 0.500
Ag1 Ag 0.250 0.250 0.750
```


Record 2
This record from the Alexandria database describes an optimized crystal structure of MgCo2Tc. The functional is PBE.

For the energy of formation, the calculation gives 0.17 eV/atom. The crystal system is monoclinic. For the magnetization, the calculation gives 0.71 μB/cell.

CIF file:
```
data_MgCo2Tc
_chemical_formula_sum 'Mg1 Co2 Tc1'
_symmetry_space_group_name_H-M 'P 1 m 1'
_symmetry_Int_Tables_number 6
_symmetry_space_group_name_Hall 'P -2y'
_cell_length_a 2.650
_cell_length_b 4.134
_cell_length_c 4.885
_cell_angle_alpha 90.00
_cell_angle_beta 104.50
_cell_angle_gamma 90.00
loop_
_atom_site_label
_atom_site_type_symbol
_atom_site_fract_x
_atom_site_fract_y
_atom_site_fract_z
Mg1 Mg 0.000 0.000 0.000
Co1 Co 0.280 0.000 0.525
Co2 Co 0.408 0.500 0.815
Tc1 Tc 0.688 0.500 0.343
```


Record 3
This record from the Alexandria database describes an optimized crystal structure of DyTlAg2. The functional is PBE.

For the energy of formation, the calculation gives -0.14 eV/atom. The crystal system is tetragonal. For the magnetization, the calculation gives 0.00 μB/cell.

CIF file:
```
data_DyTlAg2
_chemical_formula_sum 'Dy1 Tl1 Ag2'
_symmetry_space_group_name_H-M 'P 4/m m m'
_symmetry_Int_Tables_number 123
_symmetry_space_group_name_Hall '-P 4 2'
_cell_length_a 4.569
_cell_length_b 4.569
_cell_length_c 4.410
_cell_angle_alpha 90.00
_cell_angle_beta 90.00
_cell_angle_gamma 90.00
loop_
_atom_site_label
_atom_site_type_symbol
_atom_site_fract_x
_atom_site_fract_y
_atom_site_fract_z
Dy1 Dy 0.000 0.000 0.000
Tl1 Tl 0.500 0.500 0.000
Ag1 Ag 0.000 0.500 0.500
```


Record 4
This record from the Alexandria database describes an optimized crystal structure of La5Pr12Er2. The functional is PBE.

As for the relative energy among the computed polymorphs: 0.0660 eV/atom. For the energy of formation, the calculation gives 0.15 eV/atom. The crystal system is monoclinic. For the magnetization, the calculation gives 0.00 μB/cell.

CIF file:
```
data_La5Pr12Er2
_chemical_formula_sum 'La10 Pr24 Er4'
_symmetry_space_group_name_H-M 'C 1 2/m 1'
_symmetry_Int_Tables_number 12
_symmetry_space_group_name_Hall '-C 2y'
_cell_length_a 19.437
_cell_length_b 7.539
_cell_length_c 10.367
_cell_angle_alpha 90.00
_cell_angle_beta 114.16
_cell_angle_gamma 90.00
loop_
_atom_site_label
_atom_site_type_symbol
_atom_site_fract_x
_atom_site_fract_y
_atom_site_fract_z
La1 La 0.000 0.000 0.000
La2 La 0.176 0.500 0.703
La3 La 0.177 0.000 0.672
Pr1 Pr 0.006 0.500 0.822
Pr2 Pr 0.013 0.000 0.721
Pr3 Pr 0.158 0.250 0.355
Pr4 Pr 0.167 0.245 0.008
Er1 Er 0.000 0.296 0.500
```


Record 5
This record from the Alexandria database describes an optimized crystal structure of PrCu9Sn2. The functional is PBE.

As for the relative energy among the computed polymorphs: 0.0498 eV/atom. For the energy of formation, the calculation gives -0.10 eV/atom. The crystal system is trigonal. For the magnetization, the calculation gives 0.00 μB/cell.

CIF file:
```
data_PrCu9Sn2
_chemical_formula_sum 'Pr3 Cu27 Sn6'
_symmetry_space_group_name_H-M 'R -3 m'
_symmetry_Int_Tables_number 166
_symmetry_space_group_name_Hall '-R 3 2"'
_cell_length_a 5.1448
_cell_length_b 5.1448
_cell_length_c 24.4071
_cell_angle_alpha 90.00
_cell_angle_beta 90.00
_cell_angle_gamma 120.00
loop_
_atom_site_label
_atom_site_type_symbol
_atom_site_fract_x
_atom_site_fract_y
_atom_site_fract_z
Pr1 Pr 0.0000 0.0000 0.0000
Cu1 Cu 0.0000 0.0000 0.3340
Cu2 Cu 0.0000 0.0000 0.5000
Cu3 Cu 0.0036 0.5018 0.9156
Sn1 Sn 0.0000 0.0000 0.1409
```


Record 6
This record from the Alexandria database describes an optimized crystal structure of Ho8Ge3Te3C. The functional is PBE.

The crystal system is trigonal. For the magnetization, the calculation gives 1.76 μB/cell. The value obtained for the uncorrected formation energy is -13.91 eV per formula unit.

CIF file:
```
data_Ho8Ge3Te3C
_chemical_formula_sum 'Ho24 Ge9 Te9 C3'
_symmetry_space_group_name_H-M 'R -3 m'
_symmetry_Int_Tables_number 166
_symmetry_space_group_name_Hall '-R 3 2"'
_cell_length_a 8.2332
_cell_length_b 8.2332
_cell_length_c 21.3406
_cell_angle_alpha 90.00
_cell_angle_beta 90.00
_cell_angle_gamma 120.00
loop_
_atom_site_label
_atom_site_type_symbol
_atom_site_fract_x
_atom_site_fract_y
_atom_site_fract_z
Ho1 Ho 0.0000 0.0000 0.2399
Ho2 Ho 0.0358 0.5179 0.2317
Ge1 Ge 0.0000 0.5000 0.5000
Te1 Te 0.0000 0.5000 0.0000
C1 C 0.0000 0.0000 0.5000
```


Record 7
This record from the Alexandria database describes an optimized crystal structure of LiMg2MnC. The functional is PBE.

For the energy of formation, the calculation gives 0.64 eV/atom. The crystal system is tetragonal. For the magnetization, the calculation gives 1.35 μB/cell.

CIF file:
```
data_LiMg2MnC
_chemical_formula_sum 'Li1 Mg2 Mn1 C1'
_symmetry_space_group_name_H-M 'P 4/m m m'
_symmetry_Int_Tables_number 123
_symmetry_space_group_name_Hall '-P 4 2'
_cell_length_a 4.986
_cell_length_b 4.986
_cell_length_c 3.731
_cell_angle_alpha 90.00
_cell_angle_beta 90.00
_cell_angle_gamma 90.00
loop_
_atom_site_label
_atom_site_type_symbol
_atom_site_fract_x
_atom_site_fract_y
_atom_site_fract_z
Li1 Li 0.000 0.000 0.000
Mg1 Mg 0.000 0.500 0.500
Mn1 Mn 0.500 0.500 0.500
C1 C 0.500 0.500 0.000
```


Record 8
This record from the Alexandria database describes an optimized crystal structure of Pm2Ho3Er9. The functional is PBE.

For the energy of formation, the calculation gives 0.05 eV/atom. The crystal system is triclinic. For the magnetization, the calculation gives 0.00 μB/cell.

CIF file:
```
data_Pm2Ho3Er9
_chemical_formula_sum 'Pm2 Ho3 Er9'
_symmetry_space_group_name_H-M 'P -1'
_symmetry_Int_Tables_number 2
_symmetry_space_group_name_Hall '-P 1'
_cell_length_a 3.501
_cell_length_b 11.118
_cell_length_c 11.574
_cell_angle_alpha 100.81
_cell_angle_beta 97.80
_cell_angle_gamma 91.00
loop_
_atom_site_label
_atom_site_type_symbol
_atom_site_fract_x
_atom_site_fract_y
_atom_site_fract_z
Pm1 Pm 0.081 0.375 0.221
Ho1 Ho 0.426 0.921 0.855
Ho2 Ho 0.500 0.500 0.500
Er1 Er 0.036 0.792 0.073
Er2 Er 0.187 0.958 0.363
Er3 Er 0.236 0.772 0.562
Er4 Er 0.365 0.325 0.708
Er5 Er 0.500 0.500 0.000
```


What is the magnetization in the fifth record? 0.00 μB/cell